Below is crystalline ScMnSi2Ag at its relaxed geometry, with properties calculated at the PBE level.

```
data_ScMnSi2Ag
_cell_length_a 4.7134
_cell_length_b 4.7134
_cell_length_c 5.1429
_cell_angle_alpha 90.00
_cell_angle_beta 90.00
_cell_angle_gamma 90.00
_symmetry_space_group_name_H-M 'P 4/m m m'
_symmetry_Int_Tables_number 123
_symmetry_space_group_name_Hall '-P 4 2'
loop_
_atom_site_label
_atom_site_fract_x
_atom_site_fract_y
_atom_site_fract_z
Sc1 0.0000 0.0000 0.0000
Mn1 0.5000 0.5000 0.0000
Si1 0.0000 0.5000 0.5000
Ag1 0.0000 0.0000 0.5000
```

Computed properties:
D(E_F)   4.6 states/eV/f.u.
Formation energy without anion corrections   0.961 eV per atom